The following is a DFT calculation (PBE) of a geometry-optimized Mg3CuTe structure.

POSCAR file:
```
Mg3CuTe
1.0
4.954 0.000 0.000
0.000 4.954 0.000
0.000 0.000 4.954
Mg Cu Te
3 1 1
Direct
0.000 0.000 0.500
0.000 0.500 0.000
0.500 0.000 0.000
0.000 0.000 0.000
0.500 0.500 0.500
```

## Properties
Energy relative to the lowest polymorph listed for this composition ... 0.0 meV per atom

---

The following is a DFT calculation (PBE) of a geometry-optimized CuHg2Te structure.

POSCAR file:
```
CuHg2Te
1.0
2.659 -6.359 0.000
2.659 6.359 0.000
0.000 0.000 3.200
Cu Hg Te
1 2 1
Direct
0.000 0.000 0.000
0.000 0.500 0.500
0.500 0.000 0.500
0.500 0.500 0.000
```

## Properties
Total energy ... -1.7158 eV/atom

---

The following is a DFT calculation (PBE) of a geometry-optimized YSbO3 structure.

POSCAR file:
```
YSbO3
1.0
3.767 0.000 0.000
-1.884 3.262 0.000
0.000 0.000 12.885
Y Sb O
2 2 6
Direct
0.000 0.000 0.000
0.000 0.000 0.500
0.333 0.667 0.250
0.667 0.333 0.750
0.000 0.000 0.250
0.000 0.000 0.750
0.333 0.667 0.075
0.333 0.667 0.425
0.667 0.333 0.575
0.667 0.333 0.925
```

## Properties
Total energy ... -7.3331 eV/atom

---

The following is a DFT calculation (PBE) of a geometry-optimized TiGeIO2 structure.

POSCAR file:
```
TiGeIO2
1.0
3.954 0.000 0.000
0.000 3.954 0.000
0.000 0.000 5.927
Ti Ge I O
1 1 1 2
Direct
0.000 0.000 0.000
0.500 0.500 0.500
0.000 0.000 0.500
0.000 0.500 0.000
0.500 0.000 0.000
```

## Properties
Energy relative to the lowest polymorph listed for this composition ... 0.0 meV per atom

---

The following is a DFT calculation (PBE) of a geometry-optimized PuCrCl6 structure.

POSCAR file:
```
PuCrCl6
1.0
3.206 1.851 5.878
-3.206 1.851 5.878
0.000 -3.702 5.878
Pu Cr Cl
1 1 6
Direct
0.000 0.000 0.000
0.500 0.500 0.500
0.121 0.730 0.415
0.270 0.585 0.879
0.415 0.121 0.730
0.585 0.879 0.270
0.730 0.415 0.121
0.879 0.270 0.585
```

## Properties
Total energy ... -5.8172 eV/atom

---

The following is a DFT calculation (PBE) of a geometry-optimized GaCu2TcH structure.

POSCAR file:
```
GaCu2TcH
1.0
3.753 0.000 0.000
0.000 3.753 0.000
0.000 0.000 3.958
Ga Cu Tc H
1 2 1 1
Direct
0.000 0.000 0.000
0.000 0.500 0.500
0.500 0.000 0.500
0.500 0.500 0.000
0.500 0.500 0.500
```

## Properties
Total energy ... -4.9906 eV/atom

---

The following is a DFT calculation (PBE) of a geometry-optimized Ba2LiF structure.

POSCAR file:
```
Ba2LiF
1.0
-3.976 3.976 5.086
3.976 -3.976 5.086
3.976 3.976 -5.086
Ba Li F
4 2 2
Direct
0.032 0.625 0.907
0.375 0.282 0.407
0.718 0.125 0.093
0.875 0.968 0.593
0.250 0.750 0.500
0.500 0.500 0.000
0.000 0.000 0.000
0.750 0.250 0.500
```

## Properties
Energy relative to the lowest polymorph listed for this composition ... 0.0 meV per atom

---

The following is a DFT calculation (PBE) of a geometry-optimized InWAu structure.

POSCAR file:
```
InWAu
1.0
2.978 0.000 0.000
-1.489 2.579 0.000
0.000 0.000 7.181
In W Au
1 1 1
Direct
0.000 0.000 0.000
0.333 0.667 0.336
0.667 0.333 0.652
```

## Properties
Energy relative to the lowest polymorph listed for this composition ... 0.0 meV per atom